4
Lattice="2.7757 0.0000 0.0000 0.0000 5.6649 0.0000 0.0000 0.0000 6.3320" Properties=species:S:1:pos:R:3 comment="KCd2W | Alexandria via LeMat-Bulk | PBE | optimized geometry" energy_ev_per_atom=-2.860 dos_at_fermi_per_ev_cell=2.305 formation_energy_mev_per_atom=1110 sg=Pmmm de_polymorph_ev_per_fu=1.91 pbc="T T T"
K 0.0000 0.0000 0.0000
Cd 0.0000 2.8325 3.1660
Cd 1.3879 2.8325 0.0000
W 1.3879 0.0000 3.1660